Record 1
# Ce2PuGe

Crystalline Ce2PuGe at its relaxed geometry (PBE-GGA, Alexandria).

Results
Excess energy over the best structure of this formula in the dataset: 0.00 kcal/mol of atoms
E_tot: -8.1005 eV per atom
DOS at the Fermi energy: 8.8 states/eV/cell
Calculated formation energy: -0.396 eV/atom
Calculated volume: 24.0 Å³/atom

a = 4.4229 Å, b = 4.6591 Å, c = 4.6591 Å
α = 90.00°, β = 90.00°, γ = 90.00°
Closest atoms and distances in Å follow each position.
Positions (direct):
Ge  0.5000  0.0000  0.0000  8 Ce 3.21, 4 Pu 3.29
Ce  0.0000  0.0000  0.5000  4 Pu 3.21, 4 Ge 3.21, 4 Ce 3.29
Ce  0.0000  0.5000  0.0000  4 Pu 3.21, 4 Ge 3.21, 4 Ce 3.29
Pu  0.5000  0.5000  0.5000  8 Ce 3.21, 4 Ge 3.29

---

Record 2
# Ce3PuGe4

Crystalline Ce3PuGe4 at its relaxed geometry (PBE-GGA, Alexandria).

Results
E_tot: -6.8452 eV per atom
DOS at the Fermi energy: 15.9 states/eV/cell
Calculated formation energy: -0.520 eV/atom
Calculated volume: 26.2 Å³/atom

a = 4.0610 Å, b = 6.5883 Å, c = 8.7415 Å
α = 112.14°, β = 103.43°, γ = 90.00°
Closest atoms and distances in Å follow each position.
Positions (direct):
Ce  0.0000  0.5000  0.0000  8 Ge 3.15
Ce  0.1917  0.1917  0.3834  6 Ge 3.03-3.05
Ce  0.8083  0.8083  0.6166  6 Ge 3.03-3.05
Pu  0.5000  0.0000  0.0000  4 Ge 2.89
Ge  0.3690  0.5596  0.7380  1 Ge 2.51
Ge  0.6310  0.4404  0.2620  1 Ge 2.51
Ge  0.6310  0.8216  0.2620  1 Ge 2.51
Ge  0.3690  0.1784  0.7380  1 Ge 2.51

---

Record 3
# CePuGeRh

Crystalline CePuGeRh at its relaxed geometry (PBE-GGA, Alexandria).

Results
Excess energy over the best structure of this formula in the dataset: 0.00 kcal/mol of atoms
E_tot: -8.5498 eV per atom
DOS at the Fermi energy: 11.2 states/eV/cell
Calculated formation energy: -0.491 eV/atom
Calculated volume: 24.2 Å³/atom

a = 5.2899 Å, b = 4.5967 Å, c = 4.5967 Å
α = 60.00°, β = 90.00°, γ = 90.00°
Closest atoms and distances in Å follow each position.
Positions (direct):
Ce  0.5802  0.6667  0.6667  3 Rh 2.93, 3 Ge 3.01
Pu  0.1149  0.0000  0.0000  3 Rh 2.93, 3 Ge 3.00
Ge  0.8505  0.3333  0.3333  2 Rh 2.63-2.66
Rh  0.3476  0.3333  0.3333  2 Ge 2.63-2.66, 3 Ce 2.93, 3 Pu 2.93

---

Record 4
# CePu2Ge2Rh

Crystalline CePu2Ge2Rh at its relaxed geometry (PBE-GGA, Alexandria).

Results
E_tot: -8.0689 eV per atom
DOS at the Fermi energy: 10.8 states/eV/cell
Calculated formation energy: 0.462 eV/atom
Calculated volume: 23.1 Å³/atom

a = 3.6243 Å, b = 3.6243 Å, c = 10.8424 Å
α = 99.62°, β = 99.62°, γ = 90.00°
Closest atoms and distances in Å follow each position.
Positions (direct):
Ce  0.5000  0.5000  0.0000  4 Rh 2.56
Pu  0.2500  0.7500  0.5000  4 Pu 2.56
Pu  0.7500  0.2500  0.5000  4 Pu 2.56
Ge  0.6435  0.6435  0.2871  4 Pu 2.88, 1 Ce 3.02
Ge  0.3565  0.3565  0.7129  4 Pu 2.88, 1 Ce 3.02
Rh  0.0000  0.0000  0.0000  4 Ce 2.56

---

Record 5
# CePuGeRh

Crystalline CePuGeRh at its relaxed geometry (PBE-GGA, Alexandria).

Results
Excess energy over the best structure of this formula in the dataset: 0.87 kcal/mol of atoms
E_tot: -8.5118 eV per atom
DOS at the Fermi energy: 11.2 states/eV/cell
Calculated formation energy: -0.453 eV/atom
Calculated volume: 22.0 Å³/atom

a = 4.9901 Å, b = 4.9901 Å, c = 4.9901 Å
α = 60.00°, β = 60.00°, γ = 60.00°
Closest atoms and distances in Å follow each position.
Positions (direct):
Ge  0.7500  0.7500  0.7500  4 Pu 3.06, 4 Ce 3.06
Rh  0.2500  0.2500  0.2500  4 Ce 3.06, 4 Pu 3.06
Ce  0.5000  0.5000  0.5000  4 Rh 3.06, 4 Ge 3.06
Pu  0.0000  0.0000  0.0000  4 Ge 3.06, 4 Rh 3.06

---

Record 6
# Ce2PuGe3Rh4

Crystalline Ce2PuGe3Rh4 at its relaxed geometry (PBE-GGA, Alexandria).

Results
E_tot: -7.7297 eV per atom
DOS at the Fermi energy: 15.1 states/eV/cell
Calculated formation energy: -0.784 eV/atom
Calculated volume: 19.5 Å³/atom

a = 4.2254 Å, b = 4.2254 Å, c = 10.9024 Å
α = 90.00°, β = 90.00°, γ = 90.00°
Closest atoms and distances in Å follow each position.
Positions (direct):
Ce  0.5000  0.0000  0.2362  8 Rh 3.22-3.33, 6 Ge 3.24-3.57, 2 Pu 3.57
Ce  0.0000  0.5000  0.7638  8 Rh 3.22-3.33, 6 Ge 3.24-3.57, 2 Pu 3.57
Pu  0.5000  0.5000  0.5000  4 Rh 2.69, 4 Ge 2.99
Ge  0.0000  0.0000  0.5000  4 Rh 2.69, 4 Pu 2.99
Ge  0.5000  0.0000  0.8780  5 Rh 2.45-2.50
Ge  0.0000  0.5000  0.1220  5 Rh 2.45-2.50
Rh  0.5000  0.5000  0.0000  4 Ge 2.50
Rh  0.0000  0.0000  0.0000  4 Ge 2.50
Rh  0.5000  0.0000  0.6535  3 Ge 2.45-2.69, 2 Pu 2.69
Rh  0.0000  0.5000  0.3465  3 Ge 2.45-2.69, 2 Pu 2.69

---

Record 7
# Ce2PuGe2Ru5

Crystalline Ce2PuGe2Ru5 at its relaxed geometry (PBE-GGA, Alexandria).

Results
E_tot: -8.5565 eV per atom
DOS at the Fermi energy: 26.1 states/eV/cell
Calculated formation energy: -0.375 eV/atom
Calculated volume: 18.1 Å³/atom

a = 3.5717 Å, b = 10.0728 Å, c = 10.0728 Å
α = 90.00°, β = 90.00°, γ = 90.00°
Closest atoms and distances in Å follow each position.
Positions (direct):
Ce  0.0000  0.6715  0.1715  3 Ge 2.90-3.02, 6 Ru 3.03-3.18
Ce  0.0000  0.3285  0.8285  3 Ge 2.90-3.02, 6 Ru 3.03-3.18
Ce  0.0000  0.1715  0.3285  3 Ge 2.90-3.02, 6 Ru 3.03-3.18
Ce  0.0000  0.8285  0.6715  3 Ge 2.90-3.02, 6 Ru 3.03-3.18
Pu  0.0000  0.0000  0.0000  8 Ru 2.85
Pu  0.0000  0.5000  0.5000  8 Ru 2.85
Ge  0.0000  0.1251  0.6251  6 Ru 2.51-2.52
Ge  0.0000  0.8749  0.3749  6 Ru 2.51-2.52
Ge  0.0000  0.6251  0.8749  6 Ru 2.51-2.52
Ge  0.0000  0.3749  0.1251  6 Ru 2.51-2.52
Ru  0.5000  0.2090  0.0699  2 Ge 2.51
Ru  0.5000  0.7910  0.9301  2 Ge 2.51
Ru  0.5000  0.0699  0.7910  2 Ge 2.51
Ru  0.5000  0.7090  0.4301  2 Ge 2.51
Ru  0.5000  0.9301  0.2090  2 Ge 2.51
Ru  0.5000  0.2910  0.5699  2 Ge 2.51
Ru  0.5000  0.5699  0.7090  2 Ge 2.51
Ru  0.5000  0.4301  0.2910  2 Ge 2.51
Ru  0.5000  0.5000  0.0000  4 Ge 2.52
Ru  0.5000  0.0000  0.5000  4 Ge 2.52

---

Record 8
# CePuGeRu

Crystalline CePuGeRu at its relaxed geometry (PBE-GGA, Alexandria).

Results
E_tot: -8.8827 eV per atom
DOS at the Fermi energy: 7.0 states/eV/cell
Calculated formation energy: -0.343 eV/atom
Calculated volume: 19.4 Å³/atom

a = 4.7891 Å, b = 4.7891 Å, c = 4.7891 Å
α = 60.00°, β = 60.00°, γ = 60.00°
Closest atoms and distances in Å follow each position.
Positions (direct):
Ru  0.2500  0.2500  0.2500  4 Ge 2.93, 4 Ce 2.93
Ge  0.0000  0.0000  0.0000  4 Ru 2.93, 4 Pu 2.93
Ce  0.5000  0.5000  0.5000  4 Ru 2.93, 4 Pu 2.93
Pu  0.7500  0.7500  0.7500  4 Ce 2.93, 4 Ge 2.93

---

Record 9
# Ce2Pu2Ge4Ru

Crystalline Ce2Pu2Ge4Ru at its relaxed geometry (PBE-GGA, Alexandria).

Results
E_tot: -8.0003 eV per atom
DOS at the Fermi energy: 24.3 states/eV/cell
Calculated formation energy: -0.414 eV/atom
Calculated volume: 22.8 Å³/atom

a = 6.4633 Å, b = 6.4633 Å, c = 6.4633 Å
α = 102.41°, β = 113.11°, γ = 113.11°
Closest atoms and distances in Å follow each position.
Positions (direct):
Ce  0.5000  0.7500  0.2500  8 Ge 3.23, 4 Pu 3.61
Ce  0.5000  0.2500  0.7500  8 Ge 3.23, 4 Pu 3.61
Pu  0.0000  0.6801  0.6801  1 Ru 2.59
Pu  0.0000  0.3199  0.3199  1 Ru 2.59
Ge  0.0000  0.7538  0.2462  1 Ru 2.48
Ge  0.5075  0.7538  0.7538  1 Ru 2.48
Ge  0.0000  0.2462  0.7538  1 Ru 2.48
Ge  0.4925  0.2462  0.2462  1 Ru 2.48
Ru  0.0000  0.0000  0.0000  4 Ge 2.48, 2 Pu 2.59

---

Record 10
# Ce5PuGe2Sb

Crystalline Ce5PuGe2Sb at its relaxed geometry (PBE-GGA, Alexandria).

Results
E_form (uncorrected): -0.499 eV/atom
E_tot: -6.8721 eV per atom
DOS at the Fermi energy: 41.7 states/eV/cell
Calculated volume: 25.5 Å³/atom

a = 8.1468 Å, b = 8.1468 Å, c = 9.0069 Å
α = 116.89°, β = 116.89°, γ = 90.00°
Closest atoms and distances in Å follow each position.
Positions (direct):
Ce  0.9583  0.4583  0.2780  1 Pu 2.59
Ce  0.6803  0.1803  0.7220  1 Pu 2.59
Ce  0.0417  0.5417  0.7220  1 Pu 2.59
Ce  0.1803  0.0417  0.7220  1 Pu 2.59
Ce  0.5417  0.6803  0.7220  1 Pu 2.59
Ce  0.8197  0.9583  0.2780  1 Pu 2.59
Ce  0.4583  0.3197  0.2780  1 Pu 2.59
Ce  0.3197  0.8197  0.2780  1 Pu 2.59
Ce  0.5000  0.5000  0.0000  4 Ge 3.25, 2 Sb 3.46, 8 Ce 3.56
Ce  0.0000  0.0000  0.0000  4 Ge 3.25, 2 Sb 3.46, 8 Ce 3.56
Pu  0.2500  0.7500  0.5000  4 Ce 2.59
Pu  0.7500  0.2500  0.5000  4 Ce 2.59
Ge  0.1200  0.3800  0.0000  1 Ge 2.77, 2 Ce 3.00
Ge  0.6200  0.1200  0.0000  1 Ge 2.77, 2 Ce 3.00
Ge  0.3800  0.8800  0.0000  1 Ge 2.77, 2 Ce 3.00
Ge  0.8800  0.6200  0.0000  1 Ge 2.77, 2 Ce 3.00
Sb  0.2500  0.2500  0.5000  10 Ce 3.36-3.46
Sb  0.7500  0.7500  0.5000  10 Ce 3.36-3.46

---

Record 11
# Ce3Pu3SiGe2

Crystalline Ce3Pu3SiGe2 at its relaxed geometry (PBE-GGA, Alexandria).

Results
E_form (uncorrected): -0.412 eV/atom
E_tot: -8.7959 eV per atom
DOS at the Fermi energy: 26.0 states/eV/cell
Calculated volume: 25.0 Å³/atom

a = 4.0752 Å, b = 7.9914 Å, c = 7.9914 Å
α = 120.00°, β = 90.00°, γ = 90.00°
Closest atoms and distances in Å follow each position.
Positions (direct):
Ce  0.5000  0.7301  0.0000  2 Ge 2.95, 2 Si 2.97
Ce  0.5000  0.0000  0.7301  2 Ge 2.95, 2 Si 2.97
Ce  0.5000  0.2699  0.2699  2 Ge 2.95, 2 Si 2.97
Pu  0.0000  0.6085  0.6085  1 Si 3.13, 4 Ge 3.20, 6 Ce 3.39-3.44
Pu  0.0000  0.0000  0.3915  1 Si 3.13, 4 Ge 3.20, 6 Ce 3.39-3.44
Pu  0.0000  0.3915  0.0000  1 Si 3.13, 4 Ge 3.20, 6 Ce 3.39-3.44
Si  0.0000  0.0000  0.0000  6 Ce 2.97, 3 Pu 3.13
Ge  0.5000  0.6667  0.3333  3 Ce 2.95, 6 Pu 3.20
Ge  0.5000  0.3333  0.6667  3 Ce 2.95, 6 Pu 3.20

---

Record 12
# CePu4SiGe2

Crystalline CePu4SiGe2 at its relaxed geometry (PBE-GGA, Alexandria).

Results
E_form (uncorrected): -0.369 eV/atom
E_tot: -10.1091 eV per atom
DOS at the Fermi energy: 28.7 states/eV/cell
Calculated volume: 23.3 Å³/atom

a = 5.0476 Å, b = 5.0476 Å, c = 8.9206 Å
α = 73.57°, β = 73.57°, γ = 60.00°
Closest atoms and distances in Å follow each position.
Positions (direct):
Ce  0.0000  0.0000  0.0000  6 Pu 3.25, 6 Ge 3.34
Pu  0.3899  0.3899  0.8304  1 Si 2.79, 4 Ge 2.92-3.06
Pu  0.8518  0.8518  0.4447  3 Si 2.95, 1 Ge 3.06, 3 Pu 3.06
Pu  0.1482  0.1482  0.5553  3 Si 2.95, 1 Ge 3.06, 3 Pu 3.06
Pu  0.6101  0.6101  0.1696  1 Si 2.79, 4 Ge 2.92-3.06
Si  0.5000  0.5000  0.5000  8 Pu 2.79-2.95
Ge  0.7309  0.7309  0.8072  5 Pu 2.92-3.06
Ge  0.2691  0.2691  0.1928  5 Pu 2.92-3.06